No. 1
Below is a relaxed structure of CrSe3, with properties calculated at the PBE level.

The space group is Fm-3m (No. 225) and the conventional cell measures 6.674, 6.674 and 6.674 Å, with angles of 90.00, 90.00 and 90.00 degrees. The inequivalent atoms are Cr at (0.000, 0.000, 0.000), Se at (0.000, 0.000, 0.500) and Se at (0.250, 0.250, 0.250).

Its size of the total moment is 2.45 μB/f.u. The calculation puts the formation energy without anion corrections at 0.45 eV/atom. For the density of states at the Fermi level, the calculation gives 14.92 states/eV/cell.

---

No. 2
Below is a relaxed structure of TbDy6YTm2, with properties calculated at the PBE level.

The space group is C2/c (No. 15) and the conventional cell measures 9.010, 14.998 and 9.502 Å, with angles of 90.00, 97.27 and 90.00 degrees. The inequivalent atoms are Tb at (0.000, 0.091, 0.250), Dy at (0.062, 0.314, 0.445), Dy at (0.103, 0.106, 0.620), Dy at (0.205, 0.274, 0.816), Y at (0.000, 0.476, 0.750) and Tm at (0.250, 0.054, 0.956).

Its size of the total moment is 0.00 μB/f.u. The energy relative to the elements is 0.119 eV per atom. For the density of states at the Fermi level, the calculation gives 57.96 states/eV/cell.

---

No. 3
Below is a relaxed structure of K2AlAs, with properties calculated at the PBE level.

The space group is Cm (No. 8) and the conventional cell measures 7.264, 4.195 and 10.046 Å, with angles of 90.00, 103.85 and 90.00 degrees. The inequivalent atoms are K at (0.000, 0.000, 0.000), K at (0.191, 0.000, 0.577), Al at (0.251, 0.500, 0.255) and As at (0.446, 0.000, 0.342).

Its size of the total moment is 0.00 μB/f.u. The energy relative to the elements is -0.213 eV per atom. The energy above the most stable polymorph in this dataset comes out at 0.0528 eV/atom. For the density of states at the Fermi level, the calculation gives 4.92 states/eV/cell.